Below is a relaxed Rb3IBr6 crystal, with properties calculated at the PBE level.

As for the magnetization: 0.0 Bohr magnetons per cell. The energy relative to the lowest polymorph listed for this composition comes out at 0.0 kJ per mole of atoms. As for the formation energy (no corrections): -1.067 eV per atom.

It has space group P2_1/c (No. 14), with a = 5.4438 Å, b = 8.7699 Å, c = 18.7414 Å, α = 90.00°, β = 104.11° and γ = 90.00°. The distinct sites, in fractional coordinates, are Rb at (0.0000, 0.0000, 0.0000), Rb at (0.1826, 0.1645, 0.7229), I at (0.5000, 0.0000, 0.5000), Br at (0.1180, 0.1534, 0.4035), Br at (0.2448, 0.5404, 0.6851) and Br at (0.4260, 0.7425, 0.4155).

Below is a relaxed Li6PmAu12 crystal, with properties calculated at the PBE level.

As for the magnetization: 0.0 Bohr magnetons per cell. The formation energy is -7.10 eV per formula unit. The calculation puts the density of states at the Fermi level at 14.8 states/eV per cell.

It has space group R-3m (No. 166, hexagonal axes), with a = 11.9002 Å, b = 11.9002 Å, c = 8.5043 Å, α = 90.00°, β = 90.00° and γ = 120.00°. The distinct sites, in fractional coordinates, are Li at (0.0544, 0.5272, 0.2439), Pm at (0.0000, 0.0000, 0.0000), Au at (0.0000, 0.3802, 0.5000) and Au at (0.0822, 0.1644, 0.2920).

Below is a relaxed ScAgN2 crystal, with properties calculated at the PBE level.

As for the magnetization: 0.0 Bohr magnetons per cell. The energy relative to the lowest polymorph listed for this composition comes out at 0.0 kJ per mole of atoms. The calculation puts the density of states at the Fermi level at 9.7 states/eV per cell. As for the formation energy (no corrections): 0.067 eV per atom.

It has space group R-3m (No. 166, hexagonal axes), with a = 3.3542 Å, b = 3.3542 Å, c = 18.2293 Å, α = 90.00°, β = 90.00° and γ = 120.00°. The distinct sites, in fractional coordinates, are Sc at (0.0000, 0.0000, 0.0000), Ag at (0.0000, 0.0000, 0.5000) and N at (0.0000, 0.0000, 0.3887).

Below is a relaxed KYIr2 crystal, with properties calculated at the PBE level.

As for the magnetization: 0.0 Bohr magnetons per cell. The formation energy is 1.22 eV per formula unit. The energy relative to the lowest polymorph listed for this composition comes out at 23.6 kJ per mole of atoms. The calculation puts the density of states at the Fermi level at 12.2 states/eV per cell.

It has space group R-3m (No. 166, hexagonal axes), with a = 3.2340 Å, b = 3.2340 Å, c = 28.6534 Å, α = 90.00°, β = 90.00° and γ = 120.00°. The distinct sites, in fractional coordinates, are K at (0.0000, 0.0000, 0.0000), Y at (0.0000, 0.0000, 0.5000) and Ir at (0.0000, 0.0000, 0.2398).

Below is a relaxed Hg3Rh4 crystal, with properties calculated at the PBE level.

As for the magnetization: 1.4 Bohr magnetons per cell. The formation energy is 4.29 eV per formula unit. The energy relative to the lowest polymorph listed for this composition comes out at 41.5 kJ per mole of atoms. The calculation puts the density of states at the Fermi level at 8.9 states/eV per cell.

It has space group P6/mmm (No. 191), with a = 5.5408 Å, b = 5.5408 Å, c = 4.7885 Å, α = 90.00°, β = 90.00° and γ = 120.00°. The distinct sites, in fractional coordinates, are Hg at (0.0000, 0.5000, 0.0000), Rh at (0.0000, 0.0000, 0.2542) and Rh at (0.3333, 0.6667, 0.5000).

Below is a relaxed Ni2RuCl crystal, with properties calculated at the PBE level.

As for the magnetization: 14.6 Bohr magnetons per cell. The energy relative to the lowest polymorph listed for this composition comes out at 58.3 kJ per mole of atoms. The calculation puts the density of states at the Fermi level at 18.9 states/eV per cell. As for the formation energy (no corrections): 0.872 eV per atom.

It has space group Fm-3m (No. 225), with a = 6.0848 Å, b = 6.0848 Å, c = 6.0848 Å, α = 90.00°, β = 90.00° and γ = 90.00°. The distinct sites, in fractional coordinates, are Ni at (0.2500, 0.2500, 0.2500), Ru at (0.0000, 0.0000, 0.0000) and Cl at (0.0000, 0.0000, 0.5000).

Below is a relaxed Nd3Cd4Hg2 crystal, with properties calculated at the PBE level.

As for the magnetization: 0.0 Bohr magnetons per cell. The formation energy is -3.47 eV per formula unit. The energy relative to the lowest polymorph listed for this composition comes out at 1.1 kJ per mole of atoms. The calculation puts the density of states at the Fermi level at 13.1 states/eV per cell.

It has space group C2/m (No. 12), with a = 11.2129 Å, b = 5.0691 Å, c = 9.4146 Å, α = 90.00°, β = 119.63° and γ = 90.00°. The distinct sites, in fractional coordinates, are Nd at (0.0000, 0.0000, 0.0000), Nd at (0.1691, 0.5000, 0.6644), Cd at (0.0497, 0.0000, 0.3845), Cd at (0.2256, 0.5000, 0.0562) and Hg at (0.1096, 0.5000, 0.2758).

Below is a relaxed AgSb3Br crystal, with properties calculated at the PBE level.

As for the magnetization: 0.0 Bohr magnetons per cell. The energy relative to the lowest polymorph listed for this composition comes out at 0.0 kJ per mole of atoms. The calculation puts the density of states at the Fermi level at 9.5 states/eV per cell. As for the formation energy (no corrections): 0.633 eV per atom.

It has space group Pm-3m (No. 221), with a = 5.4309 Å, b = 5.4309 Å, c = 5.4309 Å, α = 90.00°, β = 90.00° and γ = 90.00°. The distinct sites, in fractional coordinates, are Ag at (0.0000, 0.0000, 0.0000), Sb at (0.0000, 0.0000, 0.5000) and Br at (0.5000, 0.5000, 0.5000).

Below is a relaxed Ba2HfSi2 crystal, with properties calculated at the PBE level.

As for the magnetization: 0.0 Bohr magnetons per cell. The energy relative to the lowest polymorph listed for this composition comes out at 0.0 kJ per mole of atoms. The calculation puts the density of states at the Fermi level at 6.3 states/eV per cell. As for the formation energy (no corrections): -0.071 eV per atom.

It has space group P4/mbm (No. 127), with a = 7.3415 Å, b = 7.3415 Å, c = 5.3750 Å, α = 90.00°, β = 90.00° and γ = 90.00°. The distinct sites, in fractional coordinates, are Ba at (0.1781, 0.3219, 0.0000), Hf at (0.0000, 0.0000, 0.5000) and Si at (0.1196, 0.6196, 0.5000).

Below is a relaxed CaGdTm2 crystal, with properties calculated at the PBE level.

As for the magnetization: 8.2 Bohr magnetons per cell. The formation energy is 0.59 eV per formula unit. The energy relative to the lowest polymorph listed for this composition comes out at 5.4 kJ per mole of atoms. The calculation puts the density of states at the Fermi level at 8.4 states/eV per cell.

It has space group P4/mmm (No. 123), with a = 5.0787 Å, b = 5.0787 Å, c = 5.0903 Å, α = 90.00°, β = 90.00° and γ = 90.00°. The distinct sites, in fractional coordinates, are Ca at (0.0000, 0.0000, 0.0000), Gd at (0.5000, 0.5000, 0.0000) and Tm at (0.0000, 0.5000, 0.5000).

Below is a relaxed LiTbHoS3 crystal, with properties calculated at the PBE level.

As for the magnetization: 0.0 Bohr magnetons per cell. The calculation puts the density of states at the Fermi level at 3.6 states/eV per cell. As for the formation energy (no corrections): -1.807 eV per atom.

It has space group P2_1/m (No. 11), with a = 8.0009 Å, b = 3.7890 Å, c = 8.3251 Å, α = 90.00°, β = 102.25° and γ = 90.00°. The distinct sites, in fractional coordinates, are Li at (0.0874, 0.2500, 0.0833), Tb at (0.1851, 0.2500, 0.7193), Ho at (0.3384, 0.7500, 0.3323), S at (0.0944, 0.2500, 0.3683), S at (0.2171, 0.7500, 0.9925) and S at (0.4220, 0.7500, 0.6708).

Below is a relaxed Ce2BiRu crystal, with properties calculated at the PBE level.

As for the magnetization: 1.1 Bohr magnetons per cell. The formation energy is -1.79 eV per formula unit. The energy relative to the lowest polymorph listed for this composition comes out at 0.0 kJ per mole of atoms. The calculation puts the density of states at the Fermi level at 8.4 states/eV per cell.

It has space group P4/mmm (No. 123), with a = 3.3635 Å, b = 3.3635 Å, c = 8.7798 Å, α = 90.00°, β = 90.00° and γ = 90.00°. The distinct sites, in fractional coordinates, are Ce at (0.0000, 0.0000, 0.2037), Bi at (0.5000, 0.5000, 0.5000) and Ru at (0.5000, 0.5000, 0.0000).

Computed calculated total energy, in the same sequence as the records: -50.3 -188.0 -76.7 -72.2 -26.0 -76.8 -44.1 -13.7 -50.0 -24.4 -68.7 -26.8 eV/cell.